No. 1
Below is a relaxed structure of ScTePb, with properties calculated at the PBE level.

Unit cell a=6.440 b=6.440 c=3.763 alpha=73.01 beta=73.02 gamma=33.97
Fractional positions:
Te1 0.706 0.706 0.294
Pb1 0.984 0.984 0.016
Sc1 0.310 0.310 0.690

Output
**E_tot**: -14.97 eV per cell
**Energy relative to the elements, uncorrected**: -595 meV/atom

***

No. 2
Below is a relaxed structure of La16Sm6Tm7, with properties calculated at the PBE level.

Unit cell a=11.349 b=11.349 c=11.349 alpha=60.00 beta=60.00 gamma=60.00
Fractional positions:
Sm1 0.299 0.299 0.701
Sm2 0.299 0.701 0.701
Sm3 0.299 0.701 0.299
Sm4 0.701 0.299 0.299
Sm5 0.701 0.299 0.701
Sm6 0.701 0.701 0.299
Tm1 0.000 0.000 0.000
Tm2 0.000 0.500 0.000
Tm3 0.500 0.000 0.000
Tm4 0.000 0.000 0.500
Tm5 0.500 0.000 0.500
Tm6 0.500 0.500 0.000
Tm7 0.000 0.500 0.500
La1 0.346 0.346 0.962
La2 0.346 0.962 0.346
La3 0.639 0.120 0.120
La4 0.038 0.654 0.654
La5 0.880 0.361 0.880
La6 0.120 0.120 0.120
La7 0.880 0.880 0.361
La8 0.120 0.120 0.639
La9 0.880 0.880 0.880
La10 0.654 0.654 0.654
La11 0.962 0.346 0.346
La12 0.120 0.639 0.120
La13 0.346 0.346 0.346
La14 0.361 0.880 0.880
La15 0.654 0.038 0.654
La16 0.654 0.654 0.038

Output
**E_form**: 17.97 kJ/mol of atoms
**E_tot**: -133.05 eV per cell

***

No. 3
Below is a relaxed structure of Sc3SbC, with properties calculated at the PBE level.

Unit cell a=6.321 b=7.431 c=4.475 alpha=90.00 beta=90.00 gamma=115.15
Fractional positions:
Sc1 0.392 0.187 0.762
Sc2 0.022 0.947 0.262
Sc3 0.522 0.947 0.262
Sc4 0.759 0.447 0.262
Sc5 0.285 0.447 0.262
Sc6 0.652 0.707 0.762
C1 0.650 0.703 0.262
C2 0.394 0.191 0.262
Sb1 0.887 0.176 0.762
Sb2 0.158 0.718 0.762

Output
**E_tot**: -72.25 eV per cell
**Energy relative to the elements, uncorrected**: -757 meV/atom

***

No. 4
Below is a relaxed structure of LaVN3, with properties calculated at the PBE level.

Unit cell a=3.628 b=6.021 c=6.326 alpha=73.04 beta=96.42 gamma=89.14
Fractional positions:
V1 0.114 0.790 0.081
V2 0.185 0.260 0.581
La1 0.663 0.745 0.557
La2 0.589 0.288 0.100
N1 0.715 0.243 0.716
N2 0.144 0.554 0.394
N3 0.103 0.610 0.910
N4 0.007 0.131 0.879
N5 0.590 0.856 0.140
N6 0.148 0.076 0.414

Output
**E_tot**: -88.52 eV per cell
**Energy relative to the elements, uncorrected**: -1047 meV/atom

***

No. 5
Below is a relaxed structure of ErMgTlCl6, with properties calculated at the PBE level.

Unit cell a=6.756 b=6.756 c=14.191 alpha=90.00 beta=90.00 gamma=120.00
Fractional positions:
Cl1 0.620 0.631 0.147
Cl2 0.989 0.620 0.853
Cl3 0.369 0.989 0.147
Cl4 0.011 0.631 0.353
Cl5 0.631 0.620 0.647
Cl6 0.631 0.011 0.853
Cl7 0.380 0.011 0.647
Cl8 0.011 0.380 0.147
Cl9 0.989 0.369 0.647
Cl10 0.369 0.380 0.353
Cl11 0.380 0.369 0.853
Cl12 0.620 0.989 0.353
Mg1 0.667 0.333 0.750
Mg2 0.333 0.667 0.250
Er1 0.667 0.333 0.250
Er2 0.333 0.667 0.750
Tl1 0.000 0.000 0.000
Tl2 0.000 0.000 0.500

Output
**E_tot**: -73.12 eV per cell
**Energy relative to the elements, uncorrected**: -1884 meV/atom

***

No. 6
Below is a relaxed structure of ThPaPd2, with properties calculated at the PBE level.

Unit cell a=5.049 b=5.049 c=5.049 alpha=60.00 beta=60.00 gamma=60.00
Fractional positions:
Pd1 0.750 0.750 0.750
Pd2 0.250 0.250 0.250
Th1 0.500 0.500 0.500
Pa1 0.000 0.000 0.000

Output
**E_form**: -43.92 kJ/mol of atoms
**E_tot**: -29.12 eV per cell

***

No. 7
Below is a relaxed structure of Tb3CePrTm, with properties calculated at the PBE level.

Unit cell a=5.895 b=6.332 c=11.776 alpha=90.00 beta=90.00 gamma=117.74
Fractional positions:
Tb1 0.329 0.659 0.004
Tb2 0.825 0.651 0.250
Tb3 0.175 0.349 0.750
Tb4 0.671 0.341 0.504
Tb5 0.329 0.659 0.496
Tb6 0.671 0.341 0.996
Ce1 0.495 0.991 0.750
Ce2 0.505 0.009 0.250
Pr1 0.000 0.000 0.500
Pr2 0.000 0.000 0.000
Tm1 0.830 0.660 0.750
Tm2 0.170 0.340 0.250

Output
**E_form**: 14.73 kJ/mol of atoms
**E_tot**: -56.32 eV per cell

***

No. 8
Below is a relaxed structure of Rb3Sr3OsO8, with properties calculated at the PBE level.

Unit cell a=7.258 b=7.258 c=7.783 alpha=117.79 beta=90.00 gamma=120.00
Fractional positions:
Rb1 0.000 0.000 0.000
Rb2 0.500 0.500 0.000
Rb3 0.000 0.500 0.000
Sr1 0.500 0.000 0.500
Sr2 0.500 0.500 0.500
Sr3 0.000 0.500 0.500
O1 0.183 0.983 0.666
O2 0.817 0.634 0.334
O3 0.200 0.017 0.334
O4 0.730 0.459 0.689
O5 0.270 0.541 0.311
O6 0.800 0.983 0.666
O7 0.817 0.017 0.334
O8 0.183 0.366 0.666
Os1 0.000 0.000 0.500

Output
**E_tot**: -86.77 eV per cell
**Energy relative to the elements, uncorrected**: -1862 meV/atom

***

No. 9
Below is a relaxed structure of CsTiMnSe4, with properties calculated at the PBE level.

Unit cell a=6.559 b=7.146 c=10.654 alpha=90.00 beta=123.53 gamma=90.00
Fractional positions:
Cs1 0.342 0.250 0.054
Cs2 0.658 0.750 0.946
Se1 0.937 0.507 0.332
Se2 0.063 0.007 0.668
Se3 0.599 0.750 0.598
Se4 0.380 0.750 0.205
Se5 0.620 0.250 0.795
Se6 0.063 0.493 0.668
Se7 0.937 0.993 0.332
Se8 0.401 0.250 0.402
Ti1 0.207 0.250 0.549
Ti2 0.793 0.750 0.451
Mn1 0.773 0.250 0.635
Mn2 0.227 0.750 0.365

Output
**E_tot**: -75.43 eV per cell
**Energy relative to the elements, uncorrected**: -837 meV/atom

***

No. 10
Below is a relaxed structure of CaPmSe2O8, with properties calculated at the PBE level.

Unit cell a=5.786 b=5.786 c=7.086 alpha=90.00 beta=90.00 gamma=120.00
Fractional positions:
Pm1 0.000 0.000 0.500
O1 0.165 0.835 0.733
O2 0.165 0.330 0.733
O3 0.333 0.667 0.038
O4 0.667 0.333 0.962
O5 0.835 0.670 0.267
O6 0.330 0.165 0.267
O7 0.835 0.165 0.267
O8 0.670 0.835 0.733
Se1 0.333 0.667 0.805
Se2 0.667 0.333 0.195
Ca1 0.000 0.000 0.000

Output
**E_tot**: -72.31 eV per cell
**Energy relative to the elements, uncorrected**: -1577 meV/atom

***

No. 11
Below is a relaxed structure of ScRe2Au, with properties calculated at the PBE level.

Unit cell a=4.850 b=4.850 c=5.072 alpha=81.85 beta=81.85 gamma=34.75
Fractional positions:
Au1 0.253 0.253 0.267
Re1 0.002 0.002 0.963
Re2 0.743 0.743 0.791
Sc1 0.502 0.502 0.480

Output
**E_form**: 13.06 kJ/mol of atoms
**E_tot**: -33.96 eV per cell

***

No. 12
Below is a relaxed structure of Cs2PbF, with properties calculated at the PBE level.

Unit cell a=8.680 b=8.680 c=8.005 alpha=57.17 beta=57.17 gamma=90.00
Fractional positions:
Cs1 0.509 0.125 0.250
Cs2 0.375 0.491 0.750
Cs3 0.875 0.759 0.750
Cs4 0.241 0.625 0.250
Pb1 0.000 0.000 0.000
Pb2 0.750 0.250 0.500
F1 0.500 0.500 0.000
F2 0.250 0.750 0.500

Output
**E_tot**: -23.24 eV per cell
**Energy relative to the elements, uncorrected**: -1083 meV/atom